[1]
Material: BiI2N
Method: DFT, PBE-GGA
State: optimized geometry

a = 17.072 Å, b = 4.416 Å, c = 9.344 Å
α = 90.00°, β = 103.75°, γ = 90.00°
Atoms (fractional coordinates):
Bi 0.134 0.000 0.289
Bi 0.366 0.500 0.711
Bi 0.634 0.500 0.289
Bi 0.866 0.000 0.711
I 0.003 0.500 0.246
I 0.237 0.000 0.725
I 0.263 0.500 0.275
I 0.497 0.000 0.754
I 0.503 0.000 0.246
I 0.737 0.500 0.725
I 0.763 0.000 0.275
I 0.997 0.500 0.754
N 0.116 0.000 0.045
N 0.384 0.500 0.955
N 0.616 0.500 0.045
N 0.884 0.000 0.955

Results
Energy relative to the lowest polymorph listed for this composition, eV/atom: 0.0000

[2]
Material: BiI2N2
Method: DFT, PBE-GGA
State: optimized geometry

a = 6.193 Å, b = 6.193 Å, c = 4.745 Å
α = 90.00°, β = 90.00°, γ = 90.00°
Atoms (fractional coordinates):
Bi 0.000 0.000 0.000
I 0.000 0.500 0.000
I 0.500 0.000 0.000
N 0.000 0.000 0.500
N 0.500 0.500 0.500

Results
Energy relative to the lowest polymorph listed for this composition, eV/atom: 1.7608

[3]
Material: BiIN2
Method: DFT, PBE-GGA
State: optimized geometry

a = 3.479 Å, b = 3.479 Å, c = 21.682 Å
α = 90.00°, β = 90.00°, γ = 120.00°
Atoms (fractional coordinates):
Bi 0.000 0.000 0.000
Bi 0.333 0.667 0.667
Bi 0.667 0.333 0.333
I 0.000 0.000 0.500
I 0.333 0.667 0.167
I 0.667 0.333 0.833
N 0.000 0.000 0.113
N 0.000 0.000 0.887
N 0.333 0.667 0.554
N 0.333 0.667 0.779
N 0.667 0.333 0.221
N 0.667 0.333 0.446

Results
Energy relative to the lowest polymorph listed for this composition, eV/atom: 0.4723

[4]
Material: BiIN2
Method: DFT, PBE-GGA
State: optimized geometry

a = 3.624 Å, b = 3.624 Å, c = 20.450 Å
α = 90.00°, β = 90.00°, γ = 120.00°
Atoms (fractional coordinates):
Bi 0.000 0.000 0.000
Bi 0.333 0.667 0.667
Bi 0.667 0.333 0.333
I 0.000 0.000 0.500
I 0.333 0.667 0.167
I 0.667 0.333 0.833
N 0.000 0.000 0.391
N 0.000 0.000 0.609
N 0.333 0.667 0.058
N 0.333 0.667 0.276
N 0.667 0.333 0.724
N 0.667 0.333 0.942

Results
Energy relative to the lowest polymorph listed for this composition, eV/atom: 0.0000

[5]
Material: Bi2IN
Method: DFT, PBE-GGA
State: optimized geometry

a = 7.354 Å, b = 7.354 Å, c = 7.354 Å
α = 90.00°, β = 90.00°, γ = 90.00°
Atoms (fractional coordinates):
Bi 0.250 0.250 0.250
Bi 0.250 0.250 0.750
Bi 0.250 0.750 0.250
Bi 0.250 0.750 0.750
Bi 0.750 0.250 0.250
Bi 0.750 0.250 0.750
Bi 0.750 0.750 0.250
Bi 0.750 0.750 0.750
I 0.000 0.000 0.000
I 0.000 0.500 0.500
I 0.500 0.000 0.500
I 0.500 0.500 0.000
N 0.000 0.000 0.500
N 0.000 0.500 0.000
N 0.500 0.000 0.000
N 0.500 0.500 0.500

Results
Energy relative to the lowest polymorph listed for this composition, eV/atom: 0.7600

[6]
Material: BiIN
Method: DFT, PBE-GGA
State: optimized geometry

a = 3.987 Å, b = 5.358 Å, c = 8.883 Å
α = 107.52°, β = 102.82°, γ = 90.17°
Atoms (fractional coordinates):
Bi 0.114 0.115 0.230
Bi 0.886 0.885 0.770
I 0.345 0.344 0.688
I 0.655 0.656 0.312
N 0.342 0.000 0.000
N 0.658 0.000 0.000

| no. | uncorrected energy (eV/atom) |
| --- | --- |
| 1 | -3.119 |
| 2 | -3.096 |
| 3 | -4.003 |
| 4 | -4.475 |
| 5 | -3.133 |
| 6 | -4.410 |